A plane-wave DFT calculation with PBE was carried out for a relaxed Pm2N crystal.

- Uncorrected formation energy: -754 meV per atom
- Symmetry: No. 12
- Energy above the lowest structure with this stoichiometry: 163 meV/atom

Geometry as POSCAR:
```
Pm2N
1.0
-2.454 -2.108 -1.182
3.937 -3.686 3.421
-5.199 1.516 8.089
Pm N
6 3
direct
0.131 0.262 0.773
0.869 0.738 0.227
0.361 0.722 0.556
0.639 0.278 0.444
0.388 0.775 0.902
0.612 0.225 0.098
0.000 0.000 0.000
0.253 0.506 0.340
0.747 0.494 0.660
```

A plane-wave DFT calculation with PBE was carried out for a relaxed Pm5N4 crystal.

- Uncorrected formation energy: -1025 meV per atom
- Symmetry: No. 87
- Energy above the lowest structure with this stoichiometry: 0 meV/atom

Geometry as POSCAR:
```
Pm5N4
1.0
3.595 0.000 1.045
1.797 7.168 0.522
-0.203 0.000 7.405
Pm N
5 4
direct
0.603 0.636 0.158
0.761 0.842 0.636
0.239 0.158 0.364
0.397 0.364 0.842
0.000 0.000 0.000
0.806 0.332 0.055
0.862 0.945 0.332
0.138 0.055 0.668
0.194 0.668 0.945
```

A plane-wave DFT calculation with PBE was carried out for a relaxed Pm2N crystal.

- Uncorrected formation energy: -917 meV per atom
- Symmetry: No. 12
- Energy above the lowest structure with this stoichiometry: 0 meV/atom

Geometry as POSCAR:
```
Pm2N
1.0
-2.079 -1.073 2.766
1.166 -2.595 2.243
3.230 6.763 0.350
N Pm
1 2
direct
0.500 0.500 0.000
0.978 0.978 0.218
0.022 0.022 0.782
```